one:
{
  "formula": "TlCo15",
  "functional": "PBE",
  "state": "optimized geometry",
  "lattice_angstrom": [[4.9738, 0.0000, 0.0000], [0.0000, 2.5475, 0.0000], [-0.0104, 0.0000, 40.6717]],
  "species": ["Tl", "Tl", "Co", "Co", "Co", "Co", "Co", "Co", "Co", "Co", "Co", "Co", "Co", "Co", "Co", "Co", "Co", "Co", "Co", "Co", "Co", "Co", "Co", "Co", "Co", "Co", "Co", "Co", "Co", "Co", "Co", "Co"],
  "frac_coords": [[0.1250, 0.2500, 0.3386], [0.8750, 0.7500, 0.6614], [0.1192, 0.2500, 0.8102], [0.1251, 0.2500, 0.0637], [0.1250, 0.2500, 0.1480], [0.1250, 0.2500, 0.2320], [0.1252, 0.2500, 0.8939], [0.1248, 0.2500, 0.9788], [0.1266, 0.2500, 0.7268], [0.3691, 0.7500, 0.1898], [0.3748, 0.7500, 0.0212], [0.3752, 0.7500, 0.1061], [0.3750, 0.7500, 0.6873], [0.3750, 0.7500, 0.7688], [0.3750, 0.7500, 0.8516], [0.3751, 0.7500, 0.9362], [0.3766, 0.7500, 0.2732], [0.6234, 0.2500, 0.7268], [0.6249, 0.2500, 0.0638], [0.6250, 0.2500, 0.1484], [0.6250, 0.2500, 0.2312], [0.6250, 0.2500, 0.3127], [0.6248, 0.2500, 0.8939], [0.6252, 0.2500, 0.9788], [0.6309, 0.2500, 0.8102], [0.8734, 0.7500, 0.2732], [0.8752, 0.7500, 0.0212], [0.8748, 0.7500, 0.1061], [0.8750, 0.7500, 0.7680], [0.8750, 0.7500, 0.8520], [0.8749, 0.7500, 0.9363], [0.8808, 0.7500, 0.1898]]
}



two:
{
  "formula": "TlCo15",
  "functional": "PBE",
  "state": "optimized geometry",
  "lattice_angstrom": [[3.5047, 0.0000, 0.0000], [0.0000, 3.5049, 0.0000], [0.0000, 0.0000, 41.1245]],
  "species": ["Tl", "Tl", "Co", "Co", "Co", "Co", "Co", "Co", "Co", "Co", "Co", "Co", "Co", "Co", "Co", "Co", "Co", "Co", "Co", "Co", "Co", "Co", "Co", "Co", "Co", "Co", "Co", "Co", "Co", "Co", "Co", "Co"],
  "frac_coords": [[0.0000, 0.0000, 0.0000], [0.0000, 0.5000, 0.3188], [0.0000, 0.0000, 0.3843], [0.0000, 0.0000, 0.4691], [0.0000, 0.0000, 0.5537], [0.0000, 0.0000, 0.6382], [0.0000, 0.0000, 0.7227], [0.0000, 0.0000, 0.8072], [0.0000, 0.0000, 0.8924], [0.0000, 0.5000, 0.4261], [0.0000, 0.5000, 0.5113], [0.0000, 0.5000, 0.5958], [0.0000, 0.5000, 0.6803], [0.0000, 0.5000, 0.7648], [0.0000, 0.5000, 0.8494], [0.0000, 0.5000, 0.9342], [0.5000, 0.0000, 0.3452], [0.5000, 0.0000, 0.4272], [0.5000, 0.0000, 0.5115], [0.5000, 0.0000, 0.5959], [0.5000, 0.0000, 0.6804], [0.5000, 0.0000, 0.7648], [0.5000, 0.0000, 0.8494], [0.5000, 0.0000, 0.9342], [0.5000, 0.5000, 0.3843], [0.5000, 0.5000, 0.4691], [0.5000, 0.5000, 0.5536], [0.5000, 0.5000, 0.6381], [0.5000, 0.5000, 0.7226], [0.5000, 0.5000, 0.8070], [0.5000, 0.5000, 0.8913], [0.5000, 0.5000, 0.9734]]
}



It is two that is most stable; the runner-up trails by 0.022 eV/atom.



one:
{
  "formula": "TlCo15",
  "functional": "PBE",
  "state": "optimized geometry",
  "lattice_angstrom": [[4.9471, 0.0000, 0.0000], [0.0000, 3.4888, 0.0000], [-0.0074, 0.0000, 33.6887]],
  "species": ["Tl", "Tl", "Co", "Co", "Co", "Co", "Co", "Co", "Co", "Co", "Co", "Co", "Co", "Co", "Co", "Co", "Co", "Co", "Co", "Co", "Co", "Co", "Co", "Co", "Co", "Co", "Co", "Co", "Co", "Co", "Co", "Co"],
  "frac_coords": [[0.1250, 0.2500, 0.2008], [0.8750, 0.7500, 0.7992], [0.1233, 0.2500, 0.6655], [0.1250, 0.2500, 0.2984], [0.1250, 0.2500, 0.3714], [0.1251, 0.2500, 0.4451], [0.1249, 0.2500, 0.5183], [0.1251, 0.2500, 0.5918], [0.1246, 0.2500, 0.7386], [0.3733, 0.7500, 0.3345], [0.3746, 0.7500, 0.2614], [0.3751, 0.7500, 0.4083], [0.3750, 0.7500, 0.4817], [0.3751, 0.7500, 0.5550], [0.3750, 0.7500, 0.6284], [0.3750, 0.7500, 0.7017], [0.3749, 0.7500, 0.7720], [0.6251, 0.2500, 0.2280], [0.6250, 0.2500, 0.2983], [0.6250, 0.2500, 0.3716], [0.6249, 0.2500, 0.4450], [0.6250, 0.2500, 0.5183], [0.6249, 0.2500, 0.5917], [0.6254, 0.2500, 0.7386], [0.6267, 0.2500, 0.6655], [0.8754, 0.7500, 0.2614], [0.8749, 0.7500, 0.4082], [0.8751, 0.7500, 0.4817], [0.8749, 0.7500, 0.5549], [0.8750, 0.7500, 0.6286], [0.8750, 0.7500, 0.7016], [0.8767, 0.7500, 0.3345]]
}



two:
{
  "formula": "TlCo15",
  "functional": "PBE",
  "state": "optimized geometry",
  "lattice_angstrom": [[6.8999, 0.0000, 0.0000], [0.0000, 2.5315, 0.0000], [-0.0009, 0.0000, 33.4590]],
  "species": ["Tl", "Tl", "Co", "Co", "Co", "Co", "Co", "Co", "Co", "Co", "Co", "Co", "Co", "Co", "Co", "Co", "Co", "Co", "Co", "Co", "Co", "Co", "Co", "Co", "Co", "Co", "Co", "Co", "Co", "Co", "Co", "Co"],
  "frac_coords": [[0.1250, 0.2500, 0.2974], [0.8750, 0.7500, 0.7026], [0.1219, 0.2500, 0.8340], [0.1250, 0.2500, 0.0553], [0.1250, 0.2500, 0.1295], [0.1250, 0.2500, 0.2039], [0.1252, 0.2500, 0.9079], [0.1247, 0.2500, 0.9816], [0.1314, 0.2500, 0.7611], [0.3718, 0.7500, 0.1660], [0.3747, 0.7500, 0.0185], [0.3752, 0.7500, 0.0920], [0.3750, 0.7500, 0.7261], [0.3750, 0.7500, 0.7971], [0.3750, 0.7500, 0.8711], [0.3750, 0.7500, 0.9446], [0.3814, 0.7500, 0.2389], [0.6186, 0.2500, 0.7611], [0.6250, 0.2500, 0.0554], [0.6250, 0.2500, 0.1289], [0.6250, 0.2500, 0.2029], [0.6250, 0.2500, 0.2739], [0.6248, 0.2500, 0.9080], [0.6253, 0.2500, 0.9815], [0.6282, 0.2500, 0.8340], [0.8686, 0.7500, 0.2389], [0.8753, 0.7500, 0.0184], [0.8748, 0.7500, 0.0921], [0.8750, 0.7500, 0.7961], [0.8750, 0.7500, 0.8705], [0.8750, 0.7500, 0.9447], [0.8781, 0.7500, 0.1660]]
}



It is one that is most stable; the runner-up trails by 0.043 eV/atom.